<i>
DFT (PBE-GGA) results for crystalline AlGa2Ag2 at its relaxed geometry.

Computed properties:
N(E_F)	3.94	states/eV/cell
total moment	0.00	μB/cell

Structure (CIF):
```
data_AlGa2Ag2
_cell_length_a 7.8646
_cell_length_b 7.8646
_cell_length_c 3.0253
_cell_angle_alpha 90.00
_cell_angle_beta 90.00
_cell_angle_gamma 90.00
_symmetry_space_group_name_H-M 'P 1'
_symmetry_Int_Tables_number 1
loop_
_symmetry_equiv_pos_as_xyz
'x,y,z'
loop_
_atom_site_label
_atom_site_type_symbol
_atom_site_fract_x
_atom_site_fract_y
_atom_site_fract_z
Ag1 Ag 0.8717 0.6283 0.0000
Ag2 Ag 0.6283 0.1283 0.0000
Ag3 Ag 0.1283 0.3717 0.0000
Ag4 Ag 0.3717 0.8717 0.0000
Al1 Al 0.5000 0.5000 0.0000
Al2 Al 0.0000 0.0000 0.0000
Ga1 Ga 0.3264 0.1736 0.5000
Ga2 Ga 0.6736 0.8264 0.5000
Ga3 Ga 0.8264 0.3264 0.5000
Ga4 Ga 0.1736 0.6736 0.5000
```

---

<ii>
DFT (PBE-GGA) results for crystalline AlGa2Ag2 at its relaxed geometry.

Computed properties:
N(E_F)	1.98	states/eV/cell
total moment	0.00	μB/cell

Structure (CIF):
```
data_AlGa2Ag2
_cell_length_a 3.7575
_cell_length_b 3.7575
_cell_length_c 7.2417
_cell_angle_alpha 74.96
_cell_angle_beta 74.96
_cell_angle_gamma 90.00
_symmetry_space_group_name_H-M 'P 1'
_symmetry_Int_Tables_number 1
loop_
_symmetry_equiv_pos_as_xyz
'x,y,z'
loop_
_atom_site_label
_atom_site_type_symbol
_atom_site_fract_x
_atom_site_fract_y
_atom_site_fract_z
Ag1 Ag 0.6001 0.6001 0.7998
Ag2 Ag 0.3999 0.3999 0.2002
Ga1 Ga 0.7500 0.2500 0.5000
Ga2 Ga 0.2500 0.7500 0.5000
Al1 Al 0.0000 0.0000 0.0000
```

---

<i> is favored, and the nearest alternative lies 2.6 kJ/mol of atoms above it.

---

<i>
DFT (PBE-GGA) results for crystalline AlGa2Ag2 at its relaxed geometry.

Computed properties:
N(E_F)	3.60	states/eV/cell
total moment	0.00	μB/cell

Structure (CIF):
```
data_AlGa2Ag2
_cell_length_a 8.1394
_cell_length_b 8.1394
_cell_length_c 2.8190
_cell_angle_alpha 90.00
_cell_angle_beta 90.00
_cell_angle_gamma 90.00
_symmetry_space_group_name_H-M 'P 1'
_symmetry_Int_Tables_number 1
loop_
_symmetry_equiv_pos_as_xyz
'x,y,z'
loop_
_atom_site_label
_atom_site_type_symbol
_atom_site_fract_x
_atom_site_fract_y
_atom_site_fract_z
Al1 Al 0.0000 0.0000 0.0000
Al2 Al 0.5000 0.5000 0.0000
Ag1 Ag 0.8227 0.3227 0.5000
Ag2 Ag 0.3227 0.1773 0.5000
Ag3 Ag 0.6773 0.8227 0.5000
Ag4 Ag 0.1773 0.6773 0.5000
Ga1 Ga 0.1217 0.3783 0.0000
Ga2 Ga 0.8783 0.6217 0.0000
Ga3 Ga 0.6217 0.1217 0.0000
Ga4 Ga 0.3783 0.8783 0.0000
```

---

<ii>
DFT (PBE-GGA) results for crystalline AlGa2Ag2 at its relaxed geometry.

Computed properties:
N(E_F)	2.09	states/eV/cell
total moment	0.00	μB/cell

Structure (CIF):
```
data_AlGa2Ag2
_cell_length_a 3.8844
_cell_length_b 3.8844
_cell_length_c 6.9480
_cell_angle_alpha 106.23
_cell_angle_beta 106.23
_cell_angle_gamma 90.00
_symmetry_space_group_name_H-M 'P 1'
_symmetry_Int_Tables_number 1
loop_
_symmetry_equiv_pos_as_xyz
'x,y,z'
loop_
_atom_site_label
_atom_site_type_symbol
_atom_site_fract_x
_atom_site_fract_y
_atom_site_fract_z
Al1 Al 0.0000 0.0000 0.0000
Ga1 Ga 0.5977 0.5977 0.1954
Ga2 Ga 0.4023 0.4023 0.8046
Ag1 Ag 0.7500 0.2500 0.5000
Ag2 Ag 0.2500 0.7500 0.5000
```

---

<i> is favored, and the nearest alternative lies 5.7 kJ/mol of atoms above it.

---

<i>
DFT (PBE-GGA) results for crystalline Al2Ga3Ag4 at its relaxed geometry.

Computed properties:
N(E_F)	5.65	states/eV/cell
total moment	0.00	μB/cell

Structure (CIF):
```
data_Al2Ga3Ag4
_cell_length_a 5.6942
_cell_length_b 6.9551
_cell_length_c 9.5962
_cell_angle_alpha 71.42
_cell_angle_beta 66.28
_cell_angle_gamma 89.92
_symmetry_space_group_name_H-M 'P 1'
_symmetry_Int_Tables_number 1
loop_
_symmetry_equiv_pos_as_xyz
'x,y,z'
loop_
_atom_site_label
_atom_site_type_symbol
_atom_site_fract_x
_atom_site_fract_y
_atom_site_fract_z
Al1 Al 0.5379 0.4261 0.1431
Al2 Al 0.4621 0.5739 0.8569
Al3 Al 0.9439 0.7915 0.5742
Al4 Al 0.0561 0.2085 0.4258
Ag1 Ag 0.4512 0.7688 0.5631
Ag2 Ag 0.3493 0.7919 0.0821
Ag3 Ag 0.6507 0.2081 0.9179
Ag4 Ag 0.5488 0.2312 0.4369
Ag5 Ag 0.9765 0.5708 0.8485
Ag6 Ag 0.0235 0.4292 0.1515
Ag7 Ag 0.0647 0.0323 0.7208
Ag8 Ag 0.9353 0.9677 0.2792
Ga1 Ga 0.1488 0.1895 0.9333
Ga2 Ga 0.2787 0.5663 0.4113
Ga3 Ga 0.5431 0.0016 0.7413
Ga4 Ga 0.8512 0.8105 0.0667
Ga5 Ga 0.4569 0.9984 0.2587
Ga6 Ga 0.7213 0.4337 0.5887
```

---

<ii>
DFT (PBE-GGA) results for crystalline Al2Ga3Ag4 at its relaxed geometry.

Computed properties:
N(E_F)	4.03	states/eV/cell
total moment	0.00	μB/cell

Structure (CIF):
```
data_Al2Ga3Ag4
_cell_length_a 5.1333
_cell_length_b 7.9378
_cell_length_c 7.9378
_cell_angle_alpha 80.88
_cell_angle_beta 88.90
_cell_angle_gamma 88.90
_symmetry_space_group_name_H-M 'P 1'
_symmetry_Int_Tables_number 1
loop_
_symmetry_equiv_pos_as_xyz
'x,y,z'
loop_
_atom_site_label
_atom_site_type_symbol
_atom_site_fract_x
_atom_site_fract_y
_atom_site_fract_z
Ga1 Ga 0.2500 0.5243 0.4757
Ga2 Ga 0.7500 0.4757 0.5243
Ga3 Ga 0.9928 0.9448 0.8008
Ga4 Ga 0.5072 0.1992 0.0552
Ga5 Ga 0.0072 0.0552 0.1992
Ga6 Ga 0.4928 0.8008 0.9448
Al1 Al 0.0582 0.3908 0.1825
Al2 Al 0.9418 0.6092 0.8175
Al3 Al 0.4418 0.8175 0.6092
Al4 Al 0.5582 0.1825 0.3908
Ag1 Ag 0.5569 0.5163 0.1822
Ag2 Ag 0.0569 0.1822 0.5163
Ag3 Ag 0.5125 0.1262 0.7335
Ag4 Ag 0.9431 0.8178 0.4837
Ag5 Ag 0.0125 0.7335 0.1262
Ag6 Ag 0.4431 0.4837 0.8178
Ag7 Ag 0.9875 0.2665 0.8738
Ag8 Ag 0.4875 0.8738 0.2665
```

---

<i> is favored, and the nearest alternative lies 1.2 kJ/mol of atoms above it.

---

<i>
DFT (PBE-GGA) results for crystalline Al4Ga5Ag2 at its relaxed geometry.

Computed properties:
N(E_F)	3.84	states/eV/cell
total moment	0.00	μB/cell

Structure (CIF):
```
data_Al4Ga5Ag2
_cell_length_a 2.8616
_cell_length_b 8.2346
_cell_length_c 8.7451
_cell_angle_alpha 82.97
_cell_angle_beta 99.42
_cell_angle_gamma 90.00
_symmetry_space_group_name_H-M 'P 1'
_symmetry_Int_Tables_number 1
loop_
_symmetry_equiv_pos_as_xyz
'x,y,z'
loop_
_atom_site_label
_atom_site_type_symbol
_atom_site_fract_x
_atom_site_fract_y
_atom_site_fract_z
Al1 Al 0.9198 0.2794 0.8397
Al2 Al 0.3150 0.5396 0.6299
Al3 Al 0.0802 0.7206 0.1603
Al4 Al 0.6850 0.4604 0.3701
Ga1 Ga 0.2842 0.2096 0.5684
Ga2 Ga 0.5000 0.0000 0.0000
Ga3 Ga 0.7158 0.7904 0.4316
Ga4 Ga 0.1477 0.0700 0.2953
Ga5 Ga 0.8523 0.9300 0.7047
Ag1 Ag 0.9363 0.6262 0.8726
Ag2 Ag 0.0637 0.3738 0.1274
```

---

<ii>
DFT (PBE-GGA) results for crystalline Al4Ga5Ag2 at its relaxed geometry.

Computed properties:
N(E_F)	3.35	states/eV/cell
total moment	0.00	μB/cell

Structure (CIF):
```
data_Al4Ga5Ag2
_cell_length_a 3.1873
_cell_length_b 8.6112
_cell_length_c 8.6249
_cell_angle_alpha 119.95
_cell_angle_beta 100.65
_cell_angle_gamma 90.00
_symmetry_space_group_name_H-M 'P 1'
_symmetry_Int_Tables_number 1
loop_
_symmetry_equiv_pos_as_xyz
'x,y,z'
loop_
_atom_site_label
_atom_site_type_symbol
_atom_site_fract_x
_atom_site_fract_y
_atom_site_fract_z
Ga1 Ga 0.1905 0.5128 0.3810
Ga2 Ga 0.8095 0.1317 0.6190
Ga3 Ga 0.5000 0.0000 0.0000
Ga4 Ga 0.8095 0.4872 0.6190
Ga5 Ga 0.1905 0.8683 0.3810
Ag1 Ag 0.1652 0.1652 0.3305
Ag2 Ag 0.8348 0.8348 0.6695
Al1 Al 0.0000 0.2557 0.0000
Al2 Al 0.5873 0.5873 0.1745
Al3 Al 0.4127 0.4128 0.8255
Al4 Al 0.0000 0.7443 0.0000
```

---

<i> is favored, and the nearest alternative lies 2.3 kJ/mol of atoms above it.

---

<i>
DFT (PBE-GGA) results for crystalline AlGa2Ag4 at its relaxed geometry.

Computed properties:
N(E_F)	1.51	states/eV/cell
total moment	0.00	μB/cell

Structure (CIF):
```
data_AlGa2Ag4
_cell_length_a 4.8954
_cell_length_b 6.4609
_cell_length_c 9.2886
_cell_angle_alpha 147.87
_cell_angle_beta 59.26
_cell_angle_gamma 128.79
_symmetry_space_group_name_H-M 'P 1'
_symmetry_Int_Tables_number 1
loop_
_symmetry_equiv_pos_as_xyz
'x,y,z'
loop_
_atom_site_label
_atom_site_type_symbol
_atom_site_fract_x
_atom_site_fract_y
_atom_site_fract_z
Ga1 Ga 0.5721 0.1427 0.7183
Ga2 Ga 0.4279 0.8573 0.2817
Ag1 Ag 0.7053 0.4224 0.1409
Ag2 Ag 0.8664 0.7185 0.5707
Ag3 Ag 0.2947 0.5776 0.8591
Ag4 Ag 0.1336 0.2815 0.4293
Al1 Al 0.0000 0.0000 0.0000
```

---

<ii>
DFT (PBE-GGA) results for crystalline AlGa2Ag4 at its relaxed geometry.

Computed properties:
N(E_F)	3.07	states/eV/cell
total moment	0.00	μB/cell

Structure (CIF):
```
data_AlGa2Ag4
_cell_length_a 5.5143
_cell_length_b 7.3562
_cell_length_c 7.3878
_cell_angle_alpha 110.42
_cell_angle_beta 103.66
_cell_angle_gamma 104.96
_symmetry_space_group_name_H-M 'P 1'
_symmetry_Int_Tables_number 1
loop_
_symmetry_equiv_pos_as_xyz
'x,y,z'
loop_
_atom_site_label
_atom_site_type_symbol
_atom_site_fract_x
_atom_site_fract_y
_atom_site_fract_z
Ga1 Ga 0.5958 0.3317 0.7621
Ga2 Ga 0.4600 0.3492 0.4046
Ga3 Ga 0.5520 0.9132 0.2113
Ga4 Ga 0.0724 0.4510 0.6985
Ag1 Ag 0.5999 0.7109 0.8254
Ag2 Ag 0.8845 0.2931 0.2333
Ag3 Ag 0.3971 0.4591 0.0841
Ag4 Ag 0.0921 0.0567 0.4583
Ag5 Ag 0.9763 0.6390 0.1247
Ag6 Ag 0.8845 0.6889 0.5163
Ag7 Ag 0.8804 0.0933 0.7820
Ag8 Ag 0.3792 0.0220 0.8486
Al1 Al 0.0912 0.9921 0.0775
Al2 Al 0.3845 0.7498 0.4734
```

---

<i> is favored, and the nearest alternative lies 3.1 kJ/mol of atoms above it.